DFT (GGA-PBE) results for a geometry-optimized ThNi2P2 structure.

a = 4.107 Å, b = 4.107 Å, c = 9.044 Å
α = 90.00°, β = 90.00°, γ = 90.00°
Fractional positions:
Th 0.250 0.250 0.248
Th 0.750 0.750 0.752
Ni 0.250 0.250 0.613
Ni 0.250 0.750 0.000
Ni 0.750 0.250 0.000
Ni 0.750 0.750 0.387
P 0.250 0.250 0.871
P 0.250 0.750 0.500
P 0.750 0.250 0.500
P 0.750 0.750 0.129

Output
D(E_F) ... 0.5992 states/eV per atom
Space group ... P4/nmm (129)

DFT (GGA-PBE) results for a geometry-optimized ThNiP2 structure.

a = 5.312 Å, b = 5.312 Å, c = 5.312 Å
α = 135.95°, β = 135.95°, γ = 64.05°
Fractional positions:
Th 0.000 0.000 0.000
Ni 0.250 0.750 0.500
P 0.372 0.372 0.000
P 0.628 0.628 0.000

Output
D(E_F) ... 0.2638 states/eV per atom
Space group ... I-4m2 (119)

DFT (GGA-PBE) results for a geometry-optimized ThNi4P3 structure.

a = 3.838 Å, b = 3.838 Å, c = 7.683 Å
α = 90.00°, β = 90.00°, γ = 90.00°
Fractional positions:
Th 0.000 0.000 0.000
Ni 0.000 0.500 0.334
Ni 0.000 0.500 0.666
Ni 0.500 0.000 0.334
Ni 0.500 0.000 0.666
P 0.000 0.000 0.500
P 0.500 0.500 0.173
P 0.500 0.500 0.827

Output
D(E_F) ... 0.5949 states/eV per atom
Space group ... P4/mmm (123)

DFT (GGA-PBE) results for a geometry-optimized ThNi5P2 structure.

a = 5.828 Å, b = 5.828 Å, c = 5.828 Å
α = 142.16°, β = 113.06°, γ = 79.55°
Fractional positions:
Th 0.000 0.000 0.000
Ni 0.157 0.347 0.810
Ni 0.463 0.653 0.810
Ni 0.500 0.000 0.500
Ni 0.537 0.347 0.190
Ni 0.843 0.653 0.190
P 0.259 0.759 0.500
P 0.741 0.241 0.500

Output
D(E_F) ... 0.9777 states/eV per atom
Space group ... Immm (71)

DFT (GGA-PBE) results for a geometry-optimized ThNi3P2 structure.

a = 7.524 Å, b = 7.524 Å, c = 6.859 Å
α = 113.99°, β = 113.99°, γ = 29.63°
Fractional positions:
Th 0.152 0.152 0.070
Th 0.848 0.848 0.930
Ni 0.041 0.041 0.368
Ni 0.316 0.316 0.562
Ni 0.399 0.399 0.311
Ni 0.601 0.601 0.689
Ni 0.684 0.684 0.438
Ni 0.959 0.959 0.632
P 0.187 0.187 0.667
P 0.480 0.480 0.812
P 0.520 0.520 0.188
P 0.813 0.813 0.333

Output
D(E_F) ... 0.7160 states/eV per atom
Space group ... C2/m (12)

DFT (GGA-PBE) results for a geometry-optimized ThNiP2 structure.

a = 7.269 Å, b = 7.269 Å, c = 7.269 Å
α = 35.54°, β = 35.54°, γ = 35.54°
Fractional positions:
Th 0.000 0.000 0.000
Ni 0.500 0.500 0.500
P 0.396 0.396 0.396
P 0.604 0.604 0.604

Output
D(E_F) ... 2.4193 states/eV per atom
Space group ... R-3m (166)

DFT (GGA-PBE) results for a geometry-optimized Th2NiP structure.

a = 7.412 Å, b = 7.412 Å, c = 7.412 Å
α = 31.30°, β = 31.30°, γ = 31.30°
Fractional positions:
Th 0.248 0.248 0.248
Th 0.752 0.752 0.752
Ni 0.500 0.500 0.500
P 0.000 0.000 0.000

Output
D(E_F) ... 1.0807 states/eV per atom
Space group ... R-3m (166)

DFT (GGA-PBE) results for a geometry-optimized Th3Ni4P2 structure.

a = 5.674 Å, b = 5.674 Å, c = 8.107 Å
α = 103.51°, β = 103.51°, γ = 41.11°
Fractional positions:
Th 0.000 0.000 0.000
Th 0.338 0.338 0.333
Th 0.662 0.662 0.667
Ni 0.058 0.058 0.383
Ni 0.282 0.282 0.931
Ni 0.718 0.718 0.069
Ni 0.942 0.942 0.617
P 0.388 0.388 0.716
P 0.612 0.612 0.284

Output
D(E_F) ... 0.6624 states/eV per atom
Space group ... C2/m (12)

DFT (GGA-PBE) results for a geometry-optimized ThTiNi2P2 structure.

a = 3.864 Å, b = 3.864 Å, c = 7.260 Å
α = 90.00°, β = 90.00°, γ = 120.00°
Fractional positions:
Th 0.000 0.000 0.000
Ti 0.000 0.000 0.500
Ni 0.333 0.667 0.699
Ni 0.667 0.333 0.301
P 0.333 0.667 0.277
P 0.667 0.333 0.723

Output
D(E_F) ... 1.0462 states/eV per atom
Space group ... P-3m1 (164)

DFT (GGA-PBE) results for a geometry-optimized TmTh2Ni12P3 structure.

a = 7.463 Å, b = 7.463 Å, c = 7.463 Å
α = 60.03°, β = 60.03°, γ = 60.03°
Fractional positions:
Tm 0.000 0.000 0.000
Th 0.400 0.400 0.400
Th 0.600 0.600 0.600
Ni 0.114 0.659 0.659
Ni 0.159 0.159 0.539
Ni 0.159 0.539 0.159
Ni 0.341 0.341 0.886
Ni 0.341 0.886 0.341
Ni 0.461 0.841 0.841
Ni 0.539 0.159 0.159
Ni 0.659 0.114 0.659
Ni 0.659 0.659 0.114
Ni 0.841 0.461 0.841
Ni 0.841 0.841 0.461
Ni 0.886 0.341 0.341
P 0.000 0.000 0.500
P 0.000 0.500 0.000
P 0.500 0.000 0.000

Output
D(E_F) ... 0.6146 states/eV per atom
Space group ... R-3m (166)

DFT (GGA-PBE) results for a geometry-optimized YThNi2P2 structure.

a = 3.942 Å, b = 3.942 Å, c = 7.893 Å
α = 90.00°, β = 90.00°, γ = 120.00°
Fractional positions:
Y 0.000 0.000 0.000
Th 0.000 0.000 0.500
Ni 0.333 0.667 0.256
Ni 0.667 0.333 0.744
P 0.333 0.667 0.763
P 0.667 0.333 0.237

Output
D(E_F) ... 0.4469 states/eV per atom
Space group ... P-3m1 (164)

| no. | total magnetization (μB/f.u.) | energy relative to the elements (eV per atom) | energy (eV/atom) |
| --- | --- | --- | --- |
| 1 | 0.0 | -1.021 | -6.981 |
| 2 | 0.0 | -1.097 | -7.102 |
| 3 | 0.0 | -0.777 | -6.624 |
| 4 | 0.0 | -0.716 | -6.610 |
| 5 | 0.0 | -0.875 | -6.805 |
| 6 | 1.4 | -0.168 | -6.173 |
| 7 | 0.0 | -0.829 | -7.337 |
| 8 | 0.0 | -0.935 | -7.180 |
| 9 | 0.0 | -1.043 | -7.326 |
| 10 | 0.0 | -0.156 | -5.985 |
| 11 | 0.0 | -1.230 | -7.275 |